[1]
Here is DyEr3TmTh after structural relaxation from Alexandria. Energies are from PBE-GGA.

Cell: 3.5355 10.5551 10.5457 Å, 109.25 90.00 90.00°
Closest atoms and distances in Å follow each position.
Sites, in units of the cell vectors:
Er (0.2500, 0.6264, 0.4583)  2 Tm 3.50, 1 Th 3.52, 7 Er 3.52-3.54, 2 Dy 3.53
Er (0.7500, 0.8729, 0.0418)  2 Th 3.49, 1 Tm 3.51, 3 Dy 3.52-3.53, 6 Er 3.53-3.56
Er (0.2500, 0.1271, 0.9582)  2 Th 3.49, 1 Tm 3.51, 3 Dy 3.52-3.53, 6 Er 3.53-3.56
Er (0.7500, 0.3736, 0.5417)  2 Tm 3.50, 1 Th 3.52, 7 Er 3.52-3.54, 2 Dy 3.53
Er (0.2500, 0.6218, 0.7927)  3 Th 3.48-3.50, 7 Er 3.52-3.54, 2 Dy 3.56
Er (0.7500, 0.3782, 0.2073)  3 Th 3.48-3.50, 7 Er 3.52-3.54, 2 Dy 3.56
Th (0.2500, 0.6259, 0.1243)  6 Er 3.48-3.52, 2 Tm 3.52, 4 Th 3.53-3.54
Th (0.7500, 0.3741, 0.8757)  6 Er 3.48-3.52, 2 Tm 3.52, 4 Th 3.53-3.54
Tm (0.7500, 0.8740, 0.3754)  3 Er 3.50-3.51, 3 Dy 3.51-3.53, 2 Th 3.52, 4 Tm 3.54
Tm (0.2500, 0.1260, 0.6246)  3 Er 3.50-3.51, 3 Dy 3.51-3.53, 2 Th 3.52, 4 Tm 3.54
Dy (0.2500, 0.1244, 0.2913)  3 Tm 3.51-3.53, 7 Er 3.52-3.56, 2 Dy 3.54
Dy (0.7500, 0.8756, 0.7087)  3 Tm 3.51-3.53, 7 Er 3.52-3.56, 2 Dy 3.54

[2]
Here is Dy2Er2Tm2Th after structural relaxation from Alexandria. Energies are from PBE-GGA.

Cell: 4.9818 6.0993 12.7105 Å, 44.06 90.00 114.10°
Closest atoms and distances in Å follow each position.
Sites, in units of the cell vectors:
Dy (0.7143, 0.4286, 0.9274)  3 Dy 3.51-3.54, 5 Er 3.51-3.56, 1 Th 3.52, 3 Tm 3.54-3.57
Dy (0.2857, 0.5714, 0.0726)  3 Dy 3.51-3.54, 5 Er 3.51-3.56, 1 Th 3.52, 3 Tm 3.54-3.57
Tm (0.4275, 0.8551, 0.3592)  4 Er 3.49-3.54, 3 Th 3.51-3.53, 2 Tm 3.52, 3 Dy 3.54-3.57
Tm (0.5725, 0.1449, 0.6408)  4 Er 3.49-3.54, 3 Th 3.51-3.53, 2 Tm 3.52, 3 Dy 3.54-3.57
Er (0.8516, 0.7031, 0.2184)  4 Tm 3.49-3.54, 2 Th 3.50, 5 Dy 3.51-3.56, 1 Er 3.58
Er (0.1484, 0.2969, 0.7816)  4 Tm 3.49-3.54, 2 Th 3.50, 5 Dy 3.51-3.56, 1 Er 3.58
Th (0.0000, 0.0000, 0.5000)  4 Er 3.50, 6 Tm 3.51-3.53, 2 Dy 3.52

[3]
Here is DyErTmTh2 after structural relaxation from Alexandria. Energies are from PBE-GGA.

Cell: 6.6196 6.6182 8.4245 Å, 113.13 90.00 90.00°
Closest atoms and distances in Å follow each position.
Sites, in units of the cell vectors:
Dy (0.2500, 0.2514, 0.5029)  4 Er 3.63-3.65, 4 Tm 3.63-3.65
Dy (0.7500, 0.7486, 0.4971)  4 Er 3.63-3.65, 4 Tm 3.63-3.65
Tm (0.7500, 0.1516, 0.3032)  1 Er 3.04, 4 Th 3.32
Tm (0.2500, 0.8484, 0.6968)  1 Er 3.04, 4 Th 3.32
Th (0.5000, 0.2501, 0.0000)  4 Th 3.31, 2 Tm 3.32, 2 Er 3.32
Th (0.5000, 0.7499, 0.0000)  4 Th 3.31, 2 Tm 3.32, 2 Er 3.32
Th (0.0000, 0.2501, 0.0000)  4 Th 3.31, 2 Tm 3.32, 2 Er 3.32
Th (0.0000, 0.7499, 0.0000)  4 Th 3.31, 2 Tm 3.32, 2 Er 3.32
Er (0.7500, 0.3478, 0.6957)  1 Tm 3.04, 4 Th 3.32
Er (0.2500, 0.6522, 0.3043)  1 Tm 3.04, 4 Th 3.32

[4]
Here is Dy6Er3TmTh2 after structural relaxation from Alexandria. Energies are from PBE-GGA.

Cell: 6.1246 6.1246 11.7326 Å, 95.00 95.00 119.95°
Closest atoms and distances in Å follow each position.
Sites, in units of the cell vectors:
Dy (0.7471, 0.7471, 0.2490)  2 Th 3.52, 6 Dy 3.52-3.56, 3 Er 3.54-3.55, 1 Tm 3.54
Dy (0.2529, 0.2529, 0.7510)  2 Th 3.52, 6 Dy 3.52-3.56, 3 Er 3.54-3.55, 1 Tm 3.54
Dy (0.0831, 0.4188, 0.2487)  2 Th 3.52, 6 Dy 3.52-3.56, 1 Tm 3.53, 3 Er 3.54-3.55
Dy (0.4188, 0.0831, 0.2487)  2 Th 3.52, 6 Dy 3.52-3.56, 1 Tm 3.53, 3 Er 3.54-3.55
Dy (0.9169, 0.5812, 0.7513)  2 Th 3.52, 6 Dy 3.52-3.56, 1 Tm 3.53, 3 Er 3.54-3.55
Dy (0.5812, 0.9169, 0.7513)  2 Th 3.52, 6 Dy 3.52-3.56, 1 Tm 3.53, 3 Er 3.54-3.55
Tm (0.0000, 0.0000, 0.0000)  6 Dy 3.53-3.54, 6 Th 3.54
Er (0.1665, 0.8335, 0.5000)  6 Er 3.53-3.54, 6 Dy 3.54-3.55
Er (0.5000, 0.5000, 0.5000)  6 Er 3.54, 6 Dy 3.54-3.55
Er (0.8335, 0.1665, 0.5000)  6 Er 3.53-3.54, 6 Dy 3.54-3.55
Th (0.3334, 0.6666, 0.0000)  6 Dy 3.52, 3 Th 3.53-3.54, 3 Tm 3.54
Th (0.6666, 0.3334, 0.0000)  6 Dy 3.52, 3 Th 3.53-3.54, 3 Tm 3.54

[5]
Here is Dy2ErTm4Th after structural relaxation from Alexandria. Energies are from PBE-GGA.

Cell: 4.9990 4.9884 11.0575 Å, 63.25 90.00 90.00°
Closest atoms and distances in Å follow each position.
Sites, in units of the cell vectors:
Tm (0.5000, 0.7488, 0.2515)  4 Dy 3.50-3.52, 2 Th 3.50, 2 Er 3.52, 4 Tm 3.53
Tm (0.0000, 0.7507, 0.7489)  2 Th 3.50, 4 Dy 3.51-3.52, 2 Er 3.52, 4 Tm 3.53
Tm (0.0000, 0.2493, 0.2511)  2 Th 3.50-3.51, 4 Dy 3.51-3.52, 2 Er 3.52, 4 Tm 3.53
Tm (0.5000, 0.2512, 0.7485)  4 Dy 3.50-3.52, 2 Th 3.50, 2 Er 3.52, 4 Tm 3.53
Dy (0.0000, 0.0000, 0.0000)  8 Tm 3.52, 4 Er 3.53
Dy (0.5000, 0.0000, 0.5000)  8 Tm 3.50-3.51, 4 Th 3.53
Er (0.5000, 0.5000, 0.0000)  8 Tm 3.52, 4 Dy 3.53
Th (0.0000, 0.5000, 0.5000)  8 Tm 3.50-3.51, 4 Dy 3.53

[6]
Here is DyErTm3Th after structural relaxation from Alexandria. Energies are from PBE-GGA.

Cell: 4.9876 7.8274 10.0145 Å, 90.00 90.00 108.58°
Closest atoms and distances in Å follow each position.
Sites, in units of the cell vectors:
Tm (0.3353, 0.6707, 0.9998)  2 Dy 3.49, 2 Th 3.50, 3 Er 3.53-3.54, 5 Tm 3.53-3.55
Tm (0.6647, 0.3293, 0.0002)  2 Dy 3.49, 2 Th 3.50, 3 Er 3.53-3.54, 5 Tm 3.53-3.55
Tm (0.3353, 0.6707, 0.5002)  2 Dy 3.49, 2 Th 3.50, 3 Er 3.53-3.54, 5 Tm 3.53-3.55
Tm (0.1665, 0.3330, 0.7500)  2 Th 3.51, 2 Er 3.52, 2 Dy 3.52, 6 Tm 3.53-3.54
Tm (0.8335, 0.6670, 0.2500)  2 Th 3.51, 2 Er 3.52, 2 Dy 3.52, 6 Tm 3.53-3.54
Tm (0.6647, 0.3293, 0.4998)  2 Dy 3.49, 2 Th 3.50, 3 Er 3.53-3.54, 5 Tm 3.53-3.55
Th (0.5003, 0.0005, 0.7500)  6 Tm 3.50-3.51, 2 Er 3.51, 4 Dy 3.53
Th (0.4997, 0.9995, 0.2500)  6 Tm 3.50-3.51, 2 Er 3.51, 4 Dy 3.53
Dy (0.0000, 0.0000, 0.5000)  6 Tm 3.49-3.52, 2 Er 3.52, 4 Th 3.53
Dy (0.0000, 0.0000, 0.0000)  6 Tm 3.49-3.52, 2 Er 3.52, 4 Th 3.53
Er (0.8335, 0.6670, 0.7500)  2 Th 3.51, 8 Tm 3.52-3.54, 2 Dy 3.52
Er (0.1665, 0.3330, 0.2500)  2 Th 3.51, 8 Tm 3.52-3.54, 2 Dy 3.52

[7]
Here is Dy2Er4TmTh after structural relaxation from Alexandria. Energies are from PBE-GGA.

Cell: 5.0009 4.9880 11.1064 Å, 63.35 90.00 90.00°
Closest atoms and distances in Å follow each position.
Sites, in units of the cell vectors:
Er (0.0000, 0.7506, 0.7490)  2 Th 3.51, 4 Dy 3.52-3.53, 2 Tm 3.53, 4 Er 3.53
Er (0.5000, 0.7489, 0.2515)  4 Dy 3.51-3.53, 2 Th 3.51, 2 Tm 3.53, 4 Er 3.53
Er (0.5000, 0.2511, 0.7485)  4 Dy 3.51-3.53, 2 Th 3.51, 2 Tm 3.53, 4 Er 3.53
Er (0.0000, 0.2494, 0.2510)  2 Th 3.51, 4 Dy 3.52-3.53, 2 Tm 3.53, 4 Er 3.53
Dy (0.5000, 0.0000, 0.5000)  8 Er 3.51-3.52, 4 Th 3.53
Dy (0.0000, 0.0000, 0.0000)  8 Er 3.53, 4 Tm 3.53
Th (0.0000, 0.5000, 0.5000)  8 Er 3.51, 4 Dy 3.53
Tm (0.5000, 0.5000, 0.0000)  8 Er 3.53, 4 Dy 3.53

[8]
Here is Dy6ErTm3Th2 after structural relaxation from Alexandria. Energies are from PBE-GGA.

Cell: 6.1218 6.1218 11.7190 Å, 95.00 95.00 119.95°
Closest atoms and distances in Å follow each position.
Sites, in units of the cell vectors:
Dy (0.7475, 0.7475, 0.2497)  6 Dy 3.52-3.57, 2 Th 3.53, 3 Tm 3.53-3.54, 1 Er 3.54
Dy (0.9162, 0.5804, 0.7505)  6 Dy 3.52-3.57, 2 Th 3.52-3.53, 3 Tm 3.53-3.55, 1 Er 3.54
Dy (0.2525, 0.2525, 0.7503)  6 Dy 3.52-3.57, 2 Th 3.53, 3 Tm 3.53-3.54, 1 Er 3.54
Dy (0.4196, 0.0838, 0.2495)  6 Dy 3.52-3.57, 2 Th 3.52-3.53, 3 Tm 3.53-3.55, 1 Er 3.54
Dy (0.0838, 0.4196, 0.2495)  6 Dy 3.52-3.57, 2 Th 3.52-3.53, 3 Tm 3.53-3.55, 1 Er 3.54
Dy (0.5804, 0.9162, 0.7505)  6 Dy 3.52-3.57, 2 Th 3.52-3.53, 3 Tm 3.53-3.55, 1 Er 3.54
Tm (0.1665, 0.8335, 0.5000)  6 Tm 3.53-3.54, 6 Dy 3.53-3.55
Tm (0.8335, 0.1665, 0.5000)  6 Tm 3.53-3.54, 6 Dy 3.53-3.55
Tm (0.5000, 0.5000, 0.5000)  6 Dy 3.53-3.54, 6 Tm 3.54
Th (0.6666, 0.3334, 0.0000)  6 Dy 3.52-3.53, 3 Th 3.53-3.54, 3 Er 3.53-3.54
Th (0.3334, 0.6666, 0.0000)  6 Dy 3.52-3.53, 3 Th 3.53-3.54, 3 Er 3.53-3.54
Er (0.0000, 0.0000, 0.0000)  6 Th 3.53-3.54, 6 Dy 3.54

| no. | Fermi-level density of states (states/eV/f.u.) | E_tot (eV per atom) |
| --- | --- | --- |
| 1 | 8.5 | -5.006 |
| 2 | 10.6 | -4.924 |
| 3 | 6.7 | -5.278 |
| 4 | 16.7 | -5.026 |
| 5 | 12.1 | -4.852 |
| 6 | 9.8 | -4.962 |
| 7 | 11.9 | -4.886 |
| 8 | 17.1 | -5.008 |